Crystalline HoZn4Co at its relaxed geometry. Source: Alexandria, functional GGA-PBE.

abc: 3.935 6.694 7.525
angles: 90.00 90.00 90.00
Positions (direct):
1 Co 0.000 0.215 0.750
2 Zn 0.500 0.042 0.250
3 Co 0.000 0.785 0.250
4 Zn 0.000 0.000 0.500
5 Zn 0.000 0.000 0.000
6 Zn 0.500 0.958 0.750
7 Zn 0.500 0.306 0.941
8 Zn 0.500 0.306 0.559
9 Zn 0.500 0.694 0.059
10 Ho 0.000 0.607 0.750
11 Zn 0.500 0.694 0.441
12 Ho 0.000 0.393 0.250

## Properties
Density: 8.13 g cm⁻³
ΔH_f (0 K): -0.2312 eV/atom
E above lowest polymorph: 0.0000 eV/atom
Space group: No. 51
Energy: -3.0277 eV/atom


Crystalline Nd3Mg7 at its relaxed geometry. Source: Alexandria, functional GGA-PBE.

abc: 5.113 6.654 8.990
angles: 112.13 106.52 90.00
Positions (direct):
1 Mg 0.390 0.620 0.781
2 Mg 0.199 0.296 0.397
3 Nd 0.208 0.786 0.416
4 Mg 0.589 0.848 0.177
5 Mg 0.610 0.380 0.219
6 Mg 0.000 0.500 0.000
7 Nd 0.792 0.214 0.584
8 Mg 0.801 0.704 0.603
9 Mg 0.411 0.152 0.823
10 Nd 0.000 0.000 0.000

## Properties
Density: 3.71 g cm⁻³
ΔH_f (0 K): -0.0826 eV/atom
Space group: No. 12
Energy: -2.6291 eV/atom


Crystalline CaSbW2Au at its relaxed geometry. Source: Alexandria, functional GGA-PBE.

abc: 3.378 3.378 32.641
angles: 90.00 90.00 120.00
Positions (direct):
1 W 0.667 0.333 0.269
2 W 0.000 0.000 0.217
3 Sb 0.000 0.000 0.334
4 Sb 0.667 0.333 0.668
5 Ca 0.667 0.333 0.083
6 W 0.667 0.333 0.550
7 W 0.000 0.000 0.935
8 Ca 0.000 0.000 0.750
9 W 0.333 0.667 0.884
10 Sb 0.333 0.667 0.001
11 Au 0.667 0.333 0.819
12 Ca 0.333 0.667 0.417
13 Au 0.000 0.000 0.485
14 Au 0.333 0.667 0.152
15 W 0.333 0.667 0.602

## Properties
Density: 11.22 g cm⁻³
E above lowest polymorph: 0.1990 eV/atom
Formation energy from raw total energies: 234 meV per atom
Space group: No. 160
Energy: -6.8272 eV/atom


Crystalline SrNbIN2 at its relaxed geometry. Source: Alexandria, functional GGA-PBE.

abc: 4.376 4.376 5.962
angles: 90.00 90.00 90.00
Positions (direct):
1 I 0.000 0.000 0.500
2 N 0.000 0.500 0.000
3 Sr 0.000 0.000 0.000
4 Nb 0.500 0.500 0.500
5 N 0.500 0.000 0.000

## Properties
Density: 4.88 g cm⁻³
E above lowest polymorph: 2.1194 eV/atom
Formation energy from raw total energies: 1994 meV per atom
Space group: No. 123
Energy: -3.9968 eV/atom


Crystalline AsRuW2 at its relaxed geometry. Source: Alexandria, functional GGA-PBE.

abc: 6.077 6.077 6.380
angles: 61.56 61.56 90.00
Positions (direct):
1 W 0.375 0.369 0.750
2 W 0.119 0.625 0.250
3 As 0.250 0.750 0.500
4 Ru 0.750 0.250 0.500
5 Ru 0.000 0.000 0.000
6 W 0.631 0.125 0.250
7 As 0.500 0.500 0.000
8 W 0.875 0.881 0.750

## Properties
Density: 10.37 g cm⁻³
ΔH_f (0 K): 1.2134 eV/atom
Space group: No. 122
Energy: -8.7445 eV/atom


Crystalline HfZr2Ir2 at its relaxed geometry. Source: Alexandria, functional GGA-PBE.

abc: 7.356 7.356 3.614
angles: 90.00 90.00 90.00
Positions (direct):
1 Hf 0.000 0.000 0.000
2 Zr 0.669 0.831 0.500
3 Zr 0.831 0.331 0.500
4 Ir 0.864 0.636 0.000
5 Ir 0.364 0.864 0.000
6 Zr 0.331 0.169 0.500
7 Zr 0.169 0.669 0.500
8 Ir 0.136 0.364 0.000
9 Ir 0.636 0.136 0.000
10 Hf 0.500 0.500 0.000

## Properties
Density: 12.66 g cm⁻³
ΔH_f (0 K): -0.6634 eV/atom
E above lowest polymorph: 0.0354 eV/atom
Space group: No. 127
Energy: -9.6178 eV/atom


Crystalline DyMnB at its relaxed geometry. Source: Alexandria, functional GGA-PBE.

abc: 3.481 3.481 7.948
angles: 90.00 90.00 90.00
Last column: magnetic moment on the atom in μB.
Positions (direct):
1 B 0.000 0.500 0.349  -0.07
2 Dy 0.000 0.500 0.809  0.01
3 Mn 0.000 0.000 0.500  1.42
4 Dy 0.500 0.000 0.191  0.01
5 Mn 0.500 0.500 0.500  1.42
6 B 0.500 0.000 0.651  -0.07

## Properties
Density: 7.87 g cm⁻³
ΔH_f (0 K): -0.3066 eV/atom
E above lowest polymorph: 0.0000 eV/atom
Space group: No. 129
Energy: -7.1229 eV/atom


Crystalline MgIn2 at its relaxed geometry. Source: Alexandria, functional GGA-PBE.

abc: 5.069 5.069 3.250
angles: 90.00 90.00 90.00
Positions (direct):
1 In 0.000 0.500 0.500
2 Mg 0.000 0.000 0.000
3 In 0.500 0.000 0.500

## Properties
Density: 5.05 g cm⁻³
ΔH_f (0 K): 0.0474 eV/atom
Space group: No. 123
Energy: -2.3097 eV/atom


Crystalline ScAg3Hg3 at its relaxed geometry. Source: Alexandria, functional GGA-PBE.

abc: 7.609 7.609 7.609
angles: 90.00 90.00 90.00
Last column: magnetic moment on the atom in μB.
Positions (direct):
1 Ag 0.000 0.250 0.500  0.00
2 Hg 0.000 0.500 0.250  0.00
3 Ag 0.250 0.500 0.000  0.00
4 Hg 0.750 0.000 0.500  0.00
5 Ag 0.500 0.000 0.250  0.00
6 Hg 0.500 0.250 0.000  0.00
7 Sc 0.000 0.000 0.000  0.76
8 Ag 0.500 0.000 0.750  0.00
9 Hg 0.250 0.000 0.500  0.00
10 Hg 0.500 0.750 0.000  0.00
11 Ag 0.000 0.750 0.500  0.00
12 Ag 0.750 0.500 0.000  0.00
13 Sc 0.500 0.500 0.500  0.76
14 Hg 0.000 0.500 0.750  0.00

## Properties
Density: 7.31 g cm⁻³
ΔH_f (0 K): 0.6474 eV/atom
Space group: No. 223
Energy: -1.6084 eV/atom


Crystalline Ba4Sr2O at its relaxed geometry. Source: Alexandria, functional GGA-PBE.

abc: 5.570 5.570 11.686
angles: 76.21 76.21 90.00
Positions (direct):
1 Ba 0.128 0.128 0.744
2 O 0.000 0.000 0.000
3 Sr 0.683 0.683 0.635
4 Ba 0.500 0.000 0.000
5 Sr 0.317 0.317 0.365
6 Ba 0.872 0.872 0.256
7 Ba 0.000 0.500 0.000

## Properties
Density: 3.60 g cm⁻³
Formation energy from raw total energies: -557 meV per atom
Space group: No. 139
Energy: -2.8445 eV/atom


Crystalline Ba3BiN2 at its relaxed geometry. Source: Alexandria, functional GGA-PBE.

abc: 6.639 8.001 8.001
angles: 113.56 90.00 90.00
Last column: magnetic moment on the atom in μB.
Positions (direct):
1 N 0.000 0.925 0.925  0.25
2 N 0.500 0.925 0.925  0.25
3 N 0.500 0.075 0.075  0.25
4 Ba 0.250 0.817 0.644  0.06
5 Ba 0.250 0.846 0.154  0.00
6 Bi 0.750 0.670 0.330  0.01
7 Ba 0.250 0.356 0.183  0.06
8 Ba 0.750 0.183 0.356  0.06
9 Bi 0.250 0.330 0.670  0.01
10 Ba 0.750 0.154 0.846  0.00
11 N 0.000 0.075 0.075  0.25
12 Ba 0.750 0.644 0.817  0.06

## Properties
Density: 5.53 g cm⁻³
Formation energy from raw total energies: -627 meV per atom
Space group: No. 63
Energy: -5.0104 eV/atom


Crystalline TeAs2H at its relaxed geometry. Source: Alexandria, functional GGA-PBE.

abc: 5.624 5.624 6.485
angles: 64.30 64.30 90.00
Positions (direct):
1 Te 0.750 0.250 0.500
2 As 0.255 0.625 0.250
3 Te 0.000 0.000 0.000
4 As 0.875 0.745 0.750
5 H 0.500 0.500 0.000
6 As 0.495 0.125 0.250
7 H 0.250 0.750 0.500
8 As 0.375 0.505 0.750

## Properties
Density: 5.71 g cm⁻³
E above lowest polymorph: 0.0000 eV/atom
Space group: No. 122
Energy: -3.3931 eV/atom


Which value of energy does entry 9 give? -1.6084 eV/atom


Which of these has the highest density? HfZr2Ir2


Look up the energy of the ninth one. -1.6084 eV/atom


Which of these has the lowest density? Ba4Sr2O